This record from Alexandria describes Tl7Hg12Bi after structural relaxation. The functional is PBE.

Its space group is No. 148. The energy of formation is 0.01 eV per atom. The electronic total energy comes out at -23.9 eV per formula unit. The calculation puts the calculated volume at 582 Å³/cell.

Unit cell a=8.530 b=8.530 c=8.530 alpha=100.84 beta=100.84 gamma=100.84
Sites, in units of the cell vectors:
Hg  0.392  0.394  0.834
Hg  0.001  0.741  0.260
Hg  0.260  0.001  0.741
Hg  0.834  0.392  0.394
Hg  0.741  0.260  0.001
Hg  0.999  0.259  0.740
Hg  0.394  0.834  0.392
Hg  0.740  0.999  0.259
Hg  0.606  0.166  0.608
Hg  0.608  0.606  0.166
Hg  0.166  0.608  0.606
Hg  0.259  0.740  0.999
Tl  0.581  0.849  0.849
Tl  0.151  0.151  0.419
Tl  0.849  0.849  0.581
Tl  0.849  0.581  0.849
Tl  0.419  0.151  0.151
Tl  0.151  0.419  0.151
Tl  0.500  0.500  0.500
Bi  0.000  0.000  0.000

=====

This record from Alexandria describes CaYNb3 after structural relaxation. The functional is PBE.

Its space group is No. 221. The energy of formation is 1.67 eV per atom. The electronic total energy comes out at -30.3 eV per formula unit. The calculation puts the calculated volume at 132 Å³/cell.

Unit cell a=5.096 b=5.096 c=5.096 alpha=90.00 beta=90.00 gamma=90.00
Sites, in units of the cell vectors:
Nb  0.500  0.000  0.000
Nb  0.000  0.500  0.000
Nb  0.000  0.000  0.500
Y  0.000  0.000  0.000
Ca  0.500  0.500  0.500